1.
K3Ag3Sn8 | PBE | optimized geometry

Properties
For the energy above the most stable polymorph in this dataset, the calculation gives 3 meV per atom.

CIF file:
```
data_K3Ag3Sn8
_chemical_formula_sum 'K6 Ag6 Sn16'
_space_group_name_H-M_alt 'C 1 2/m 1'
_space_group_IT_number 12
_cell_length_a 18.217
_cell_length_b 4.939
_cell_length_c 10.970
_cell_angle_alpha 90.00
_cell_angle_beta 126.95
_cell_angle_gamma 90.00
loop_
_space_group_symop_operation_xyz
'x,y,z'
'-x,-y,-z'
'-x,y,-z'
'x,-y,z'
'x+1/2,y+1/2,z'
'-x+1/2,-y+1/2,-z'
'-x+1/2,y+1/2,-z'
'x+1/2,-y+1/2,z'
loop_
_atom_site_label
_atom_site_fract_x
_atom_site_fract_y
_atom_site_fract_z
K1 0.000 0.000 0.000
K2 0.204 0.500 0.707
Ag1 0.000 0.000 0.500
Ag2 0.159 0.500 0.016
Sn1 0.006 0.500 0.688
Sn2 0.146 0.500 0.266
Sn3 0.147 0.000 0.864
Sn4 0.156 0.000 0.440
```

***

2.
BaLiCu | PBE | optimized geometry

Properties
For the energy above the most stable polymorph in this dataset, the calculation gives 40 meV per atom.

CIF file:
```
data_BaLiCu
_chemical_formula_sum 'Ba1 Li1 Cu1'
_space_group_name_H-M_alt 'P -6 m 2'
_space_group_IT_number 187
_space_group_name_Hall 'P -6 2'
_cell_length_a 4.6998
_cell_length_b 4.6998
_cell_length_c 4.5528
_cell_angle_alpha 90.00
_cell_angle_beta 90.00
_cell_angle_gamma 120.00
loop_
_atom_site_label
_atom_site_fract_x
_atom_site_fract_y
_atom_site_fract_z
Ba1 0.0000 0.0000 0.0000
Li1 0.6667 0.3333 0.5000
Cu1 0.3333 0.6667 0.5000
```

***

3.
Pm3Ga2Rh5 | PBE | optimized geometry

CIF file:
```
data_Pm3Ga2Rh5
_chemical_formula_sum 'Pm6 Ga4 Rh10'
_space_group_name_H-M_alt 'P 4/m b m'
_space_group_IT_number 127
_space_group_name_Hall '-P 4 2ab'
_cell_length_a 10.186
_cell_length_b 10.186
_cell_length_c 3.653
_cell_angle_alpha 90.00
_cell_angle_beta 90.00
_cell_angle_gamma 90.00
loop_
_atom_site_label
_atom_site_fract_x
_atom_site_fract_y
_atom_site_fract_z
Pm1 0.000 0.000 0.000
Pm2 0.174 0.326 0.000
Ga1 0.121 0.621 0.000
Rh1 0.000 0.500 0.500
Rh2 0.071 0.784 0.500
```

***

4.
YPOs2 | PBE | optimized geometry

CIF file:
```
data_YPOs2
_chemical_formula_sum 'Y1 P1 Os2'
_space_group_name_H-M_alt 'P 4 m m'
_space_group_IT_number 99
_cell_length_a 3.002
_cell_length_b 3.002
_cell_length_c 7.308
_cell_angle_alpha 90.00
_cell_angle_beta 90.00
_cell_angle_gamma 90.00
loop_
_space_group_symop_operation_xyz
'x,y,z'
'-y,x,z'
'-x,-y,z'
'y,-x,z'
'-x,y,z'
'y,x,z'
'x,-y,z'
'-y,-x,z'
loop_
_atom_site_label
_atom_site_fract_x
_atom_site_fract_y
_atom_site_fract_z
Y1 0.000 0.000 0.000
P1 0.500 0.500 0.701
Os1 0.000 0.000 0.532
Os2 0.500 0.500 0.286
```

***

Computed values of E_tot (unit: eV per atom) for the preceding records, in sequence: -3.238; -2.613; -6.465; -8.626.
Computed values of magnetization (unit: μB per cell) for the preceding records, in sequence: 0.00; 0.00; 0.00; 0.00.
Computed values of formation enthalpy at 0 K (unit: eV/atom) for the preceding records, in sequence: -0.10; 0.03; -0.76; -0.04.